Density functional theory data (PBE) for a relaxed structure of Nd5HN4.

a = 3.650 Å, b = 6.332 Å, c = 8.169 Å
α = 75.55°, β = 77.09°, γ = 73.25°
Element x y z (fractional)
N 0.604 0.194 0.599
N 0.199 0.409 0.194
N 0.801 0.591 0.806
N 0.396 0.806 0.401
Nd 0.000 0.500 0.500
Nd 0.394 0.326 0.887
Nd 0.206 0.901 0.687
Nd 0.606 0.674 0.113
Nd 0.794 0.099 0.313
H 0.000 0.000 0.000

Results
The value obtained for the total magnetization is 0.00 μB/atom. For the mass density, the calculation gives 7484 kg/m3. As for the raw total energy: -0.5339 Ry per atom.